1.
Material: PmGa5Pt
Method: DFT, PBE
State: relaxed

```
data_PmGa5Pt
_cell_length_a 4.431
_cell_length_b 4.431
_cell_length_c 6.936
_cell_angle_alpha 90.00
_cell_angle_beta 90.00
_cell_angle_gamma 90.00
_symmetry_space_group_name_H-M 'P 4/m m m'
_symmetry_Int_Tables_number 123
_symmetry_space_group_name_Hall '-P 4 2'
loop_
_atom_site_label
_atom_site_fract_x
_atom_site_fract_y
_atom_site_fract_z
Pm1 0.000 0.000 0.000
Ga1 0.000 0.500 0.300
Ga2 0.500 0.500 0.000
Pt1 0.000 0.000 0.500
```

Summary:
- VASP energy: -4.286 eV per atom
- Crystal system: tetragonal

***

2.
Material: TmGe6S8
Method: DFT, PBE
State: relaxed

```
data_TmGe6S8
_cell_length_a 9.1470
_cell_length_b 9.1470
_cell_length_c 15.4038
_cell_angle_alpha 90.00
_cell_angle_beta 90.00
_cell_angle_gamma 120.00
_symmetry_space_group_name_H-M 'R -3'
_symmetry_Int_Tables_number 148
_symmetry_space_group_name_Hall '-R 3'
loop_
_atom_site_label
_atom_site_fract_x
_atom_site_fract_y
_atom_site_fract_z
Tm1 0.0000 0.0000 0.0000
Ge1 0.0042 0.7645 0.6350
S1 0.0000 0.0000 0.2900
S2 0.0439 0.7663 0.0872
```

Summary:
- Formation energy without anion corrections: -468 meV/atom
- Crystal system: trigonal

***

3.
Material: Al2HgSe
Method: DFT, PBE
State: relaxed

```
data_Al2HgSe
_cell_length_a 6.333
_cell_length_b 3.645
_cell_length_c 7.445
_cell_angle_alpha 90.00
_cell_angle_beta 106.40
_cell_angle_gamma 90.00
_symmetry_space_group_name_H-M 'C 1 2/m 1'
_symmetry_Int_Tables_number 12
loop_
_symmetry_equiv_pos_as_xyz
'x,y,z'
'-x,-y,-z'
'-x,y,-z'
'x,-y,z'
'x+1/2,y+1/2,z'
'-x+1/2,-y+1/2,-z'
'-x+1/2,y+1/2,-z'
'x+1/2,-y+1/2,z'
loop_
_atom_site_label
_atom_site_fract_x
_atom_site_fract_y
_atom_site_fract_z
Al1 0.246 0.000 0.241
Hg1 0.000 0.000 0.500
Se1 0.000 0.500 0.000
```

Summary:
- Formation energy without anion corrections: -164 meV/atom
- Crystal system: monoclinic

***

4.
Material: La5Tm4Cd
Method: DFT, PBE
State: relaxed

```
data_La5Tm4Cd
_cell_length_a 3.756
_cell_length_b 3.756
_cell_length_c 23.425
_cell_angle_alpha 90.00
_cell_angle_beta 90.00
_cell_angle_gamma 90.00
_symmetry_space_group_name_H-M 'P 4/m m m'
_symmetry_Int_Tables_number 123
_symmetry_space_group_name_Hall '-P 4 2'
loop_
_atom_site_label
_atom_site_fract_x
_atom_site_fract_y
_atom_site_fract_z
La1 0.000 0.000 0.000
La2 0.000 0.000 0.203
La3 0.000 0.000 0.410
Tm1 0.500 0.500 0.101
Tm2 0.500 0.500 0.305
Cd1 0.500 0.500 0.500
```

Summary:
- VASP energy: -4.380 eV per atom
- Crystal system: tetragonal

***

5.
Material: Ta2FeHg
Method: DFT, PBE
State: relaxed

```
data_Ta2FeHg
_cell_length_a 3.580
_cell_length_b 4.431
_cell_length_c 8.504
_cell_angle_alpha 90.00
_cell_angle_beta 90.00
_cell_angle_gamma 90.00
_symmetry_space_group_name_H-M 'I m m m'
_symmetry_Int_Tables_number 71
_symmetry_space_group_name_Hall '-I 2 2'
loop_
_atom_site_label
_atom_site_fract_x
_atom_site_fract_y
_atom_site_fract_z
Ta1 0.000 0.000 0.233
Fe1 0.000 0.500 0.500
Hg1 0.000 0.500 0.000
```

Summary:
- VASP energy: -7.843 eV per atom
- Crystal system: orthorhombic

***

6.
Material: DySi2Ni2Os
Method: DFT, PBE
State: relaxed

```
data_DySi2Ni2Os
_cell_length_a 4.501
_cell_length_b 4.501
_cell_length_c 5.356
_cell_angle_alpha 90.00
_cell_angle_beta 90.00
_cell_angle_gamma 90.00
_symmetry_space_group_name_H-M 'P 4/m m m'
_symmetry_Int_Tables_number 123
_symmetry_space_group_name_Hall '-P 4 2'
loop_
_atom_site_label
_atom_site_fract_x
_atom_site_fract_y
_atom_site_fract_z
Dy1 0.000 0.000 0.000
Si1 0.000 0.500 0.500
Ni1 0.500 0.500 0.252
Os1 0.000 0.000 0.500
```

Summary:
- Formation energy without anion corrections: 35 meV/atom
- Crystal system: tetragonal

***

7.
Material: Si3TcRu
Method: DFT, PBE
State: relaxed

```
data_Si3TcRu
_cell_length_a 4.552
_cell_length_b 4.552
_cell_length_c 4.552
_cell_angle_alpha 90.00
_cell_angle_beta 90.00
_cell_angle_gamma 90.00
_symmetry_space_group_name_H-M 'P m -3 m'
_symmetry_Int_Tables_number 221
_symmetry_space_group_name_Hall '-P 4 2 3'
loop_
_atom_site_label
_atom_site_fract_x
_atom_site_fract_y
_atom_site_fract_z
Si1 0.000 0.000 0.500
Tc1 0.500 0.500 0.500
Ru1 0.000 0.000 0.000
```

Summary:
- Energy above the most stable polymorph in this dataset: 0.0 kJ/mol of atoms
- Formation energy without anion corrections: 968 meV/atom
- Crystal system: cubic

***

8.
Material: Pr3Dy3Hg2
Method: DFT, PBE
State: relaxed

```
data_Pr3Dy3Hg2
_cell_length_a 5.237
_cell_length_b 11.916
_cell_length_c 16.078
_cell_angle_alpha 90.00
_cell_angle_beta 90.00
_cell_angle_gamma 90.00
_symmetry_space_group_name_H-M 'C m c m'
_symmetry_Int_Tables_number 63
_symmetry_space_group_name_Hall '-C 2c 2'
loop_
_atom_site_label
_atom_site_fract_x
_atom_site_fract_y
_atom_site_fract_z
Pr1 0.000 0.039 0.108
Pr2 0.000 0.286 0.250
Dy1 0.000 0.358 0.034
Dy2 0.000 0.428 0.750
Hg1 0.000 0.233 0.625
```

Summary:
- VASP energy: -3.777 eV per atom
- Crystal system: orthorhombic

***

9.
Material: NdSi12Ni4
Method: DFT, PBE
State: relaxed

```
data_NdSi12Ni4
_cell_length_a 8.074
_cell_length_b 8.074
_cell_length_c 8.074
_cell_angle_alpha 90.00
_cell_angle_beta 90.00
_cell_angle_gamma 90.00
_symmetry_space_group_name_H-M 'I m -3'
_symmetry_Int_Tables_number 204
_symmetry_space_group_name_Hall '-I 2 2 3'
loop_
_atom_site_label
_atom_site_fract_x
_atom_site_fract_y
_atom_site_fract_z
Nd1 0.000 0.000 0.000
Si1 0.000 0.163 0.353
Ni1 0.250 0.250 0.250
```

Summary:
- Formation energy without anion corrections: -234 meV/atom
- Crystal system: cubic

***

10.
Material: Tb5TlIn2
Method: DFT, PBE
State: relaxed

```
data_Tb5TlIn2
_cell_length_a 6.949
_cell_length_b 6.949
_cell_length_c 9.292
_cell_angle_alpha 90.00
_cell_angle_beta 90.00
_cell_angle_gamma 90.00
_symmetry_space_group_name_H-M 'I 4 m m'
_symmetry_Int_Tables_number 107
_symmetry_space_group_name_Hall 'I 4 -2'
loop_
_atom_site_label
_atom_site_fract_x
_atom_site_fract_y
_atom_site_fract_z
Tb1 0.000 0.000 0.000
Tb2 0.250 0.250 0.250
Tl1 0.000 0.000 0.499
In1 0.000 0.500 0.000
```

Summary:
- Energy above the most stable polymorph in this dataset: 4.1 kJ/mol of atoms
- Crystal system: tetragonal

***

11.
Material: BaCo2Tc
Method: DFT, PBE
State: relaxed

```
data_BaCo2Tc
_cell_length_a 4.768
_cell_length_b 4.768
_cell_length_c 3.182
_cell_angle_alpha 90.00
_cell_angle_beta 90.00
_cell_angle_gamma 90.00
_symmetry_space_group_name_H-M 'P 4/m m m'
_symmetry_Int_Tables_number 123
_symmetry_space_group_name_Hall '-P 4 2'
loop_
_atom_site_label
_atom_site_fract_x
_atom_site_fract_y
_atom_site_fract_z
Ba1 0.000 0.000 0.000
Co1 0.000 0.500 0.500
Tc1 0.500 0.500 0.000
```

Summary:
- Energy above the most stable polymorph in this dataset: 70.3 kJ/mol of atoms
- Crystal system: tetragonal

***

12.
Material: ReNiOs2
Method: DFT, PBE
State: relaxed

```
data_ReNiOs2
_cell_length_a 3.833
_cell_length_b 3.833
_cell_length_c 7.502
_cell_angle_alpha 90.00
_cell_angle_beta 90.00
_cell_angle_gamma 90.00
_symmetry_space_group_name_H-M 'I 4/m m m'
_symmetry_Int_Tables_number 139
_symmetry_space_group_name_Hall '-I 4 2'
loop_
_atom_site_label
_atom_site_fract_x
_atom_site_fract_y
_atom_site_fract_z
Re1 0.000 0.000 0.000
Ni1 0.000 0.000 0.500
Os1 0.000 0.500 0.250
```

Summary:
- Energy above the most stable polymorph in this dataset: 0.7 kJ/mol of atoms
- Crystal system: tetragonal